# Pr5TlPt

A relaxed structure of Pr5TlPt (PBE-GGA, the Alexandria database).

Geometry as POSCAR:
```
Pr5TlPt
1.0
6.227 -0.473 -0.129
1.527 6.055 -0.129
2.768 1.992 11.521
Pr Pt Tl
10 2 2
Cartesian
6.773 3.288 4.997 Pr
2.296 6.447 2.752 Pr
7.041 3.208 1.316 Pr
3.862 0.920 4.187 Pr
6.660 6.656 7.076 Pr
6.651 6.376 10.758 Pr
3.750 4.287 6.266 Pr
3.481 4.367 9.948 Pr
3.871 1.200 0.506 Pr
8.226 1.128 8.512 Pr
0.000 0.000 0.000 Pt
1.384 0.996 5.760 Pt
4.173 3.839 2.752 Tl
6.349 3.736 8.512 Tl
```

density of states at the Fermi level: 1.20 states/eV per atom
formation energy from the elements: -323 meV per atom
E: -4.94 eV per atom